# OsPt2Cl | the Alexandria database | PBE | optimized geometry
data_OsPt2Cl
_chemical_formula_sum 'Os1 Pt2 Cl1'
_symmetry_space_group_name_H-M 'P 1'
_symmetry_Int_Tables_number 1
_symmetry_space_group_name_Hall 'P 1'
_cell_length_a 4.473
_cell_length_b 4.473
_cell_length_c 4.473
_cell_angle_alpha 120.37
_cell_angle_beta 120.37
_cell_angle_gamma 89.36
loop_
_atom_site_label
_atom_site_fract_x
_atom_site_fract_y
_atom_site_fract_z
_atom_site_occupancy
Os1 0.750 0.250 0.500 1
Cl1 0.500 0.500 0.000 1
Pt1 0.000 0.000 0.000 1
Pt2 0.250 0.750 0.500 1
# **Energy**: -0.39373 Ry/atom
# **Offset from the most stable computed form**: 633 meV/atom
# **Total magnetization**: 0.01 μB/f.u.
# **Uncorrected formation energy**: 0.93 eV/atom
# **Theoretical density**: 16.3 g cm⁻³